1.
DFT (PBE-GGA) results for a relaxed structure of Mn2V2Pt.

Cell and atoms, written as CIF:
```
data_Mn2V2Pt
_cell_length_a 3.786
_cell_length_b 3.786
_cell_length_c 9.565
_cell_angle_alpha 90.00
_cell_angle_beta 90.00
_cell_angle_gamma 90.00
_space_group_name_H-M_alt 'I 4/m m m'
_space_group_IT_number 139
_space_group_name_Hall '-I 4 2'
loop_
_atom_site_label
_atom_site_type_symbol
_atom_site_fract_x
_atom_site_fract_y
_atom_site_fract_z
Mn1 Mn 0.000 0.000 0.109
V1 V 0.000 0.500 0.250
Pt1 Pt 0.000 0.000 0.500
```

Summary:
calculated volume = 13.71 Å³/atom
formation energy = 1.40 eV/f.u.

2.
DFT (PBE-GGA) results for a relaxed structure of MnVPt3.

Cell and atoms, written as CIF:
```
data_MnVPt3
_cell_length_a 4.201
_cell_length_b 5.388
_cell_length_c 7.120
_cell_angle_alpha 90.00
_cell_angle_beta 90.00
_cell_angle_gamma 90.00
_space_group_name_H-M_alt 'P m m n'
_space_group_IT_number 59
loop_
_space_group_symop_operation_xyz
'x,y,z'
'-x,-y,-z'
'-x+1/2,-y+1/2,z'
'x+1/2,y+1/2,-z'
'x+1/2,-y,-z'
'-x+1/2,y,z'
'-x,y+1/2,-z'
'x,-y+1/2,z'
loop_
_atom_site_label
_atom_site_type_symbol
_atom_site_fract_x
_atom_site_fract_y
_atom_site_fract_z
Mn1 Mn 0.250 0.250 0.152
V1 V 0.250 0.750 0.431
Pt1 Pt 0.250 0.008 0.715
Pt2 Pt 0.250 0.750 0.071
```

Summary:
calculated volume = 16.12 Å³/atom
formation energy = -1.33 eV/f.u.

3.
DFT (PBE-GGA) results for a relaxed structure of MnV2Pt9.

Cell and atoms, written as CIF:
```
data_MnV2Pt9
_cell_length_a 3.923
_cell_length_b 3.923
_cell_length_c 11.775
_cell_angle_alpha 90.00
_cell_angle_beta 90.00
_cell_angle_gamma 90.00
_space_group_name_H-M_alt 'P 4/m m m'
_space_group_IT_number 123
_space_group_name_Hall '-P 4 2'
loop_
_atom_site_label
_atom_site_type_symbol
_atom_site_fract_x
_atom_site_fract_y
_atom_site_fract_z
Mn1 Mn 0.000 0.000 0.000
V1 V 0.000 0.000 0.329
Pt1 Pt 0.000 0.500 0.171
Pt2 Pt 0.000 0.500 0.500
Pt3 Pt 0.500 0.500 0.000
Pt4 Pt 0.500 0.500 0.335
```

Summary:
calculated volume = 15.10 Å³/atom
formation energy = -5.33 eV/f.u.

4.
DFT (PBE-GGA) results for a relaxed structure of Mn3VPt6.

Cell and atoms, written as CIF:
```
data_Mn3VPt6
_cell_length_a 7.324
_cell_length_b 4.534
_cell_length_c 9.586
_cell_angle_alpha 90.00
_cell_angle_beta 109.57
_cell_angle_gamma 90.00
_space_group_name_H-M_alt 'P 1 21/m 1'
_space_group_IT_number 11
loop_
_space_group_symop_operation_xyz
'x,y,z'
'-x,-y,-z'
'-x,y+1/2,-z'
'x,-y+1/2,z'
loop_
_atom_site_label
_atom_site_type_symbol
_atom_site_fract_x
_atom_site_fract_y
_atom_site_fract_z
Mn1 Mn 0.086 0.250 0.231
Mn2 Mn 0.300 0.250 0.027
Mn3 Mn 0.310 0.750 0.373
V1 V 0.106 0.750 0.571
Pt1 Pt 0.085 0.250 0.722
Pt2 Pt 0.105 0.750 0.073
Pt3 Pt 0.282 0.250 0.524
Pt4 Pt 0.298 0.750 0.864
Pt5 Pt 0.492 0.250 0.331
Pt6 Pt 0.496 0.250 0.829
```

Summary:
calculated volume = 15.00 Å³/atom
formation energy = -3.81 eV/f.u.